<i>
# GGA-PBE RePt4, relaxed
data_RePt4
_cell_length_a 2.794
_cell_length_b 2.794
_cell_length_c 11.550
_cell_angle_alpha 83.05
_cell_angle_beta 83.05
_cell_angle_gamma 60.00
_space_group_name_H-M_alt 'P 1'
_space_group_IT_number 1
_space_group_name_Hall 'P 1'
loop_
_atom_site_label
_atom_site_type_symbol
_atom_site_fract_x
_atom_site_fract_y
_atom_site_fract_z
Re1 Re 0.000 0.000 0.000
Pt1 Pt 0.603 0.603 0.192
Pt2 Pt 0.201 0.201 0.398
Pt3 Pt 0.799 0.799 0.602
Pt4 Pt 0.397 0.397 0.808
# Size of the total moment   0.0 μB/cell
# SG   R-3m
# Theoretical density   20759 kg/m3

<ii>
# GGA-PBE RePt4, relaxed
data_RePt4
_cell_length_a 4.770
_cell_length_b 4.770
_cell_length_c 4.770
_cell_angle_alpha 90.00
_cell_angle_beta 90.00
_cell_angle_gamma 90.00
_space_group_name_H-M_alt 'P 1'
_space_group_IT_number 1
_space_group_name_Hall 'P 1'
loop_
_atom_site_label
_atom_site_type_symbol
_atom_site_fract_x
_atom_site_fract_y
_atom_site_fract_z
Re1 Re 0.500 0.500 0.500
Pt1 Pt 0.000 0.000 0.000
Pt2 Pt 0.500 0.000 0.500
Pt3 Pt 0.000 0.500 0.500
Pt4 Pt 0.500 0.500 0.000
# Size of the total moment   0.0 μB/cell
# SG   Pm-3m
# Theoretical density   14786 kg/m3

<iii>
# GGA-PBE RePt4, relaxed
data_RePt4
_cell_length_a 5.021
_cell_length_b 5.021
_cell_length_c 5.021
_cell_angle_alpha 109.47
_cell_angle_beta 109.47
_cell_angle_gamma 109.47
_space_group_name_H-M_alt 'P 1'
_space_group_IT_number 1
_space_group_name_Hall 'P 1'
loop_
_atom_site_label
_atom_site_type_symbol
_atom_site_fract_x
_atom_site_fract_y
_atom_site_fract_z
Re1 Re 0.000 0.000 0.000
Pt1 Pt 0.500 0.000 0.000
Pt2 Pt 0.500 0.500 0.500
Pt3 Pt 0.000 0.500 0.000
Pt4 Pt 0.000 0.000 0.500
# Size of the total moment   0.0 μB/cell
# SG   Im-3m
# Theoretical density   16469 kg/m3

<iv>
# GGA-PBE RePt4, relaxed
data_RePt4
_cell_length_a 5.758
_cell_length_b 5.758
_cell_length_c 4.952
_cell_angle_alpha 90.00
_cell_angle_beta 90.00
_cell_angle_gamma 90.00
_space_group_name_H-M_alt 'P 1'
_space_group_IT_number 1
_space_group_name_Hall 'P 1'
loop_
_atom_site_label
_atom_site_type_symbol
_atom_site_fract_x
_atom_site_fract_y
_atom_site_fract_z
Re1 Re 0.000 0.000 0.750
Re2 Re 0.000 0.000 0.250
Pt1 Pt 0.366 0.808 0.000
Pt2 Pt 0.192 0.634 0.500
Pt3 Pt 0.808 0.366 0.500
Pt4 Pt 0.366 0.192 0.500
Pt5 Pt 0.808 0.634 0.000
Pt6 Pt 0.634 0.192 0.000
Pt7 Pt 0.192 0.366 0.000
Pt8 Pt 0.634 0.808 0.500
# Size of the total moment   0.0 μB/cell
# SG   P4/mcc
# Theoretical density   19554 kg/m3

Relative energy of each structure, in eV/atom: <i> 0.000; <ii> 1.559; <iii> 0.638; <iv> 0.186.

<i>
# GGA-PBE Re3Pt5, relaxed
data_Re3Pt5
_cell_length_a 7.717
_cell_length_b 7.716
_cell_length_c 4.993
_cell_angle_alpha 90.00
_cell_angle_beta 90.00
_cell_angle_gamma 60.02
_space_group_name_H-M_alt 'P 1'
_space_group_IT_number 1
_space_group_name_Hall 'P 1'
loop_
_atom_site_label
_atom_site_type_symbol
_atom_site_fract_x
_atom_site_fract_y
_atom_site_fract_z
Re1 Re 0.584 0.415 0.750
Re2 Re 0.416 0.584 0.250
Re3 Re 0.416 0.000 0.750
Re4 Re 0.000 0.416 0.250
Re5 Re 0.585 0.000 0.250
Re6 Re 0.000 0.585 0.750
Pt1 Pt 0.791 0.209 0.250
Pt2 Pt 0.209 0.791 0.750
Pt3 Pt 0.209 0.000 0.250
Pt4 Pt 0.000 0.209 0.750
Pt5 Pt 0.667 0.667 0.000
Pt6 Pt 0.667 0.667 0.500
Pt7 Pt 0.333 0.333 0.000
Pt8 Pt 0.333 0.333 0.500
Pt9 Pt 0.791 0.000 0.750
Pt10 Pt 0.000 0.791 0.250
# Size of the total moment   0.0 μB/cell
# SG   P6_3/mcm
# Theoretical density   19783 kg/m3

<ii>
# GGA-PBE Re3Pt5, relaxed
data_Re3Pt5
_cell_length_a 5.347
_cell_length_b 7.155
_cell_length_c 7.155
_cell_angle_alpha 94.85
_cell_angle_beta 109.07
_cell_angle_gamma 70.93
_space_group_name_H-M_alt 'P 1'
_space_group_IT_number 1
_space_group_name_Hall 'P 1'
loop_
_atom_site_label
_atom_site_type_symbol
_atom_site_fract_x
_atom_site_fract_y
_atom_site_fract_z
Re1 Re 0.986 0.166 0.412
Re2 Re 0.250 0.952 0.953
Re3 Re 0.515 0.412 0.167
Re4 Re 0.486 0.588 0.834
Re5 Re 0.750 0.048 0.048
Re6 Re 0.015 0.834 0.589
Pt1 Pt 0.003 0.668 0.917
Pt2 Pt 0.237 0.795 0.289
Pt3 Pt 0.250 0.459 0.460
Pt4 Pt 0.264 0.288 0.795
Pt5 Pt 0.498 0.916 0.669
Pt6 Pt 0.503 0.084 0.332
Pt7 Pt 0.737 0.712 0.206
Pt8 Pt 0.750 0.541 0.541
Pt9 Pt 0.764 0.205 0.712
Pt10 Pt 0.998 0.332 0.084
# Size of the total moment   0.0 μB/cell
# SG   C2/c
# Theoretical density   20842 kg/m3

Relative energy of each structure, in eV/atom: <i> 0.434; <ii> 0.000.

<i>
# GGA-PBE Re5Pt4, relaxed
data_Re5Pt4
_cell_length_a 7.652
_cell_length_b 7.652
_cell_length_c 5.476
_cell_angle_alpha 90.00
_cell_angle_beta 90.00
_cell_angle_gamma 60.00
_space_group_name_H-M_alt 'P 1'
_space_group_IT_number 1
_space_group_name_Hall 'P 1'
loop_
_atom_site_label
_atom_site_type_symbol
_atom_site_fract_x
_atom_site_fract_y
_atom_site_fract_z
Re1 Re 0.333 0.667 0.250
Re2 Re 0.000 0.333 0.250
Re3 Re 0.667 0.000 0.250
Re4 Re 0.667 0.333 0.750
Re5 Re 0.000 0.667 0.750
Re6 Re 0.333 0.000 0.750
Re7 Re 0.333 0.333 0.000
Re8 Re 0.667 0.667 0.500
Re9 Re 0.667 0.667 0.000
Re10 Re 0.333 0.333 0.500
Pt1 Pt 0.000 0.000 0.000
Pt2 Pt 0.000 0.000 0.500
Pt3 Pt 0.660 0.340 0.250
Pt4 Pt 0.000 0.660 0.250
Pt5 Pt 0.340 0.000 0.250
Pt6 Pt 0.340 0.660 0.750
Pt7 Pt 0.000 0.340 0.750
Pt8 Pt 0.660 0.000 0.750
# Size of the total moment   0.0 μB/cell
# SG   P6_3/mcm
# Theoretical density   20472 kg/m3

<ii>
# GGA-PBE Re5Pt4, relaxed
data_Re5Pt4
_cell_length_a 3.932
_cell_length_b 6.204
_cell_length_c 6.204
_cell_angle_alpha 95.76
_cell_angle_beta 108.47
_cell_angle_gamma 71.53
_space_group_name_H-M_alt 'P 1'
_space_group_IT_number 1
_space_group_name_Hall 'P 1'
loop_
_atom_site_label
_atom_site_type_symbol
_atom_site_fract_x
_atom_site_fract_y
_atom_site_fract_z
Pt1 Pt 0.000 0.326 0.326
Pt2 Pt 0.000 0.674 0.674
Pt3 Pt 0.326 0.674 0.326
Pt4 Pt 0.674 0.326 0.674
Re1 Re 0.000 0.000 0.000
Re2 Re 0.339 0.000 0.678
Re3 Re 0.339 0.322 0.000
Re4 Re 0.661 0.678 0.000
Re5 Re 0.661 0.000 0.322
# Size of the total moment   0.0 μB/cell
# SG   I4/mmm
# Theoretical density   20874 kg/m3

Relative energy of each structure, in eV/atom: <i> 0.331; <ii> 0.000.

<i>
# GGA-PBE Re5Pt3, relaxed
data_Re5Pt3
_cell_length_a 5.569
_cell_length_b 5.569
_cell_length_c 3.879
_cell_angle_alpha 90.00
_cell_angle_beta 90.00
_cell_angle_gamma 91.69
_space_group_name_H-M_alt 'P 1'
_space_group_IT_number 1
_space_group_name_Hall 'P 1'
loop_
_atom_site_label
_atom_site_type_symbol
_atom_site_fract_x
_atom_site_fract_y
_atom_site_fract_z
Re1 Re 0.000 0.000 0.000
Re2 Re 0.000 0.500 0.000
Re3 Re 0.500 0.000 0.000
Re4 Re 0.754 0.246 0.500
Re5 Re 0.246 0.754 0.500
Pt1 Pt 0.500 0.500 0.000
Pt2 Pt 0.249 0.249 0.500
Pt3 Pt 0.751 0.751 0.500
# Size of the total moment   0.0 μB/cell
# SG   Cmmm
# Theoretical density   20943 kg/m3

<ii>
# GGA-PBE Re5Pt3, relaxed
data_Re5Pt3
_cell_length_a 5.289
_cell_length_b 7.123
_cell_length_c 7.383
_cell_angle_alpha 98.69
_cell_angle_beta 113.93
_cell_angle_gamma 71.21
_space_group_name_H-M_alt 'P 1'
_space_group_IT_number 1
_space_group_name_Hall 'P 1'
loop_
_atom_site_label
_atom_site_type_symbol
_atom_site_fract_x
_atom_site_fract_y
_atom_site_fract_z
Re1 Re 0.045 0.703 0.787
Re2 Re 0.344 0.920 0.337
Re3 Re 0.295 0.455 0.545
Re4 Re 0.427 0.337 0.920
Re5 Re 0.462 0.786 0.704
Re6 Re 0.539 0.213 0.296
Re7 Re 0.574 0.663 0.080
Re8 Re 0.706 0.545 0.456
Re9 Re 0.657 0.080 0.664
Re10 Re 0.956 0.297 0.214
Pt1 Pt 0.085 0.166 0.580
Pt2 Pt 0.208 0.042 0.958
Pt3 Pt 0.171 0.580 0.166
Pt4 Pt 0.830 0.420 0.835
Pt5 Pt 0.793 0.958 0.043
Pt6 Pt 0.916 0.834 0.421
# Size of the total moment   0.0 μB/cell
# SG   C2/c
# Theoretical density   20930 kg/m3

Relative energy of each structure, in eV/atom: <i> 0.090; <ii> 0.000.

<i>
# GGA-PBE Re4Pt3, relaxed
data_Re4Pt3
_cell_length_a 10.086
_cell_length_b 10.086
_cell_length_c 10.086
_cell_angle_alpha 161.08
_cell_angle_beta 161.08
_cell_angle_gamma 26.88
_space_group_name_H-M_alt 'P 1'
_space_group_IT_number 1
_space_group_name_Hall 'P 1'
loop_
_atom_site_label
_atom_site_type_symbol
_atom_site_fract_x
_atom_site_fract_y
_atom_site_fract_z
Re1 Re 0.860 0.860 0.000
Re2 Re 0.571 0.571 0.000
Re3 Re 0.429 0.429 0.000
Re4 Re 0.140 0.140 0.000
Pt1 Pt 0.000 0.000 0.000
Pt2 Pt 0.715 0.715 0.000
Pt3 Pt 0.285 0.285 0.000
# Size of the total moment   0.0 μB/cell
# SG   I4/mmm
# Theoretical density   20489 kg/m3

<ii>
# GGA-PBE Re4Pt3, relaxed
data_Re4Pt3
_cell_length_a 5.077
_cell_length_b 5.077
_cell_length_c 4.916
_cell_angle_alpha 90.00
_cell_angle_beta 90.00
_cell_angle_gamma 120.00
_space_group_name_H-M_alt 'P 1'
_space_group_IT_number 1
_space_group_name_Hall 'P 1'
loop_
_atom_site_label
_atom_site_type_symbol
_atom_site_fract_x
_atom_site_fract_y
_atom_site_fract_z
Re1 Re 0.000 0.000 0.264
Re2 Re 0.000 0.000 0.736
Re3 Re 0.667 0.333 0.500
Re4 Re 0.333 0.667 0.500
Pt1 Pt 0.000 0.500 0.000
Pt2 Pt 0.500 0.500 0.000
Pt3 Pt 0.500 0.000 0.000
# Size of the total moment   0.0 μB/cell
# SG   P6/mmm
# Theoretical density   20128 kg/m3

Relative energy of each structure, in eV/atom: <i> 0.000; <ii> 0.324.

<i>
# GGA-PBE RePt3Rh6, relaxed
data_RePt3Rh6
_cell_length_a 4.463
_cell_length_b 7.295
_cell_length_c 9.944
_cell_angle_alpha 114.75
_cell_angle_beta 90.00
_cell_angle_gamma 90.00
_space_group_name_H-M_alt 'P 1'
_space_group_IT_number 1
_space_group_name_Hall 'P 1'
loop_
_atom_site_label
_atom_site_type_symbol
_atom_site_fract_x
_atom_site_fract_y
_atom_site_fract_z
Re1 Re 0.250 0.965 0.568
Re2 Re 0.750 0.035 0.432
Pt1 Pt 0.250 0.567 0.369
Pt2 Pt 0.750 0.433 0.631
Pt3 Pt 0.250 0.361 0.767
Pt4 Pt 0.750 0.639 0.233
Pt5 Pt 0.250 0.769 0.967
Pt6 Pt 0.750 0.231 0.033
Rh1 Rh 0.250 0.465 0.067
Rh2 Rh 0.750 0.535 0.933
Rh3 Rh 0.250 0.168 0.169
Rh4 Rh 0.750 0.832 0.831
Rh5 Rh 0.250 0.672 0.666
Rh6 Rh 0.750 0.328 0.334
Rh7 Rh 0.250 0.261 0.469
Rh8 Rh 0.750 0.739 0.531
Rh9 Rh 0.250 0.873 0.273
Rh10 Rh 0.750 0.127 0.727
Rh11 Rh 0.250 0.063 0.864
Rh12 Rh 0.750 0.937 0.136
# Size of the total moment   0.0 μB/cell
# SG   P2_1/m
# Theoretical density   15687 kg/m3

<ii>
# GGA-PBE RePt3Rh6, relaxed
data_RePt3Rh6
_cell_length_a 5.132
_cell_length_b 5.132
_cell_length_c 6.872
_cell_angle_alpha 90.00
_cell_angle_beta 90.00
_cell_angle_gamma 120.00
_space_group_name_H-M_alt 'P 1'
_space_group_IT_number 1
_space_group_name_Hall 'P 1'
loop_
_atom_site_label
_atom_site_type_symbol
_atom_site_fract_x
_atom_site_fract_y
_atom_site_fract_z
Re1 Re 0.000 0.000 0.000
Pt1 Pt 0.000 0.000 0.500
Pt2 Pt 0.667 0.333 0.500
Pt3 Pt 0.333 0.667 0.500
Rh1 Rh 0.593 0.593 0.816
Rh2 Rh 0.000 0.407 0.816
Rh3 Rh 0.407 0.000 0.816
Rh4 Rh 0.000 0.593 0.184
Rh5 Rh 0.407 0.407 0.184
Rh6 Rh 0.593 0.000 0.184
# Size of the total moment   0.0 μB/cell
# SG   P-31m
# Theoretical density   14715 kg/m3

Relative energy of each structure, in eV/atom: <i> 0.000; <ii> 0.285.

<i>
# GGA-PBE RePtRh, relaxed
data_RePtRh
_cell_length_a 4.400
_cell_length_b 4.400
_cell_length_c 2.675
_cell_angle_alpha 90.00
_cell_angle_beta 90.00
_cell_angle_gamma 120.00
_space_group_name_H-M_alt 'P 1'
_space_group_IT_number 1
_space_group_name_Hall 'P 1'
loop_
_atom_site_label
_atom_site_type_symbol
_atom_site_fract_x
_atom_site_fract_y
_atom_site_fract_z
Re1 Re 0.667 0.333 0.000
Pt1 Pt 0.000 0.000 0.500
Rh1 Rh 0.333 0.667 0.500
# Size of the total moment   0.0 μB/cell
# SG   P-6m2
# Theoretical density   17927 kg/m3

<ii>
# GGA-PBE RePtRh, relaxed
data_RePtRh
_cell_length_a 4.221
_cell_length_b 4.221
_cell_length_c 4.221
_cell_angle_alpha 60.00
_cell_angle_beta 60.00
_cell_angle_gamma 60.00
_space_group_name_H-M_alt 'P 1'
_space_group_IT_number 1
_space_group_name_Hall 'P 1'
loop_
_atom_site_label
_atom_site_type_symbol
_atom_site_fract_x
_atom_site_fract_y
_atom_site_fract_z
Re1 Re 0.250 0.250 0.250
Pt1 Pt 0.500 0.500 0.500
Rh1 Rh 0.000 0.000 0.000
# Size of the total moment   0.0 μB/cell
# SG   F-43m
# Theoretical density   15122 kg/m3

Relative energy of each structure, in eV/atom: <i> 0.000; <ii> 0.380.

<i>
# GGA-PBE RePtRh, relaxed
data_RePtRh
_cell_length_a 2.758
_cell_length_b 2.758
_cell_length_c 6.788
_cell_angle_alpha 90.00
_cell_angle_beta 90.00
_cell_angle_gamma 120.00
_space_group_name_H-M_alt 'P 1'
_space_group_IT_number 1
_space_group_name_Hall 'P 1'
loop_
_atom_site_label
_atom_site_type_symbol
_atom_site_fract_x
_atom_site_fract_y
_atom_site_fract_z
Re1 Re 0.667 0.333 0.341
Rh1 Rh 0.333 0.667 0.655
Pt1 Pt 0.000 0.000 0.004
# Size of the total moment   0.0 μB/cell
# SG   P3m1
# Theoretical density   17979 kg/m3

<ii>
# GGA-PBE RePtRh, relaxed
data_RePtRh
_cell_length_a 6.223
_cell_length_b 6.223
_cell_length_c 2.750
_cell_angle_alpha 77.23
_cell_angle_beta 77.23
_cell_angle_gamma 25.53
_space_group_name_H-M_alt 'P 1'
_space_group_IT_number 1
_space_group_name_Hall 'P 1'
loop_
_atom_site_label
_atom_site_type_symbol
_atom_site_fract_x
_atom_site_fract_y
_atom_site_fract_z
Re1 Re 0.670 0.670 0.330
Rh1 Rh 0.325 0.325 0.675
Pt1 Pt 0.005 0.005 0.995
# Size of the total moment   0.0 μB/cell
# SG   I4mm
# Theoretical density   17986 kg/m3

<iii>
# GGA-PBE RePtRh, relaxed
data_RePtRh
_cell_length_a 2.760
_cell_length_b 4.777
_cell_length_c 7.314
_cell_angle_alpha 89.95
_cell_angle_beta 112.17
_cell_angle_gamma 90.00
_space_group_name_H-M_alt 'P 1'
_space_group_IT_number 1
_space_group_name_Hall 'P 1'
loop_
_atom_site_label
_atom_site_type_symbol
_atom_site_fract_x
_atom_site_fract_y
_atom_site_fract_z
Re1 Re 0.750 0.745 0.500
Re2 Re 0.250 0.255 0.500
Pt1 Pt 0.077 0.085 0.827
Pt2 Pt 0.923 0.915 0.173
Rh1 Rh 0.573 0.584 0.823
Rh2 Rh 0.427 0.416 0.177
# Size of the total moment   0.0 μB/cell
# SG   P2_1/m
# Theoretical density   18007 kg/m3

<iv>
# GGA-PBE RePtRh, relaxed
data_RePtRh
_cell_length_a 4.767
_cell_length_b 4.767
_cell_length_c 4.767
_cell_angle_alpha 146.52
_cell_angle_beta 131.71
_cell_angle_gamma 60.04
_space_group_name_H-M_alt 'P 1'
_space_group_IT_number 1
_space_group_name_Hall 'P 1'
loop_
_atom_site_label
_atom_site_type_symbol
_atom_site_fract_x
_atom_site_fract_y
_atom_site_fract_z
Re1 Re 0.330 0.330 0.000
Rh1 Rh 0.672 0.672 0.000
Pt1 Pt 0.998 0.998 0.000
# Size of the total moment   0.0 μB/cell
# SG   Imm2
# Theoretical density   18192 kg/m3

Relative energy of each structure, in eV/atom: <i> 0.081; <ii> 0.054; <iii> 0.073; <iv> 0.000.